Record 1
The following is a DFT calculation (PBE) of PrMg2SiPd2 after structural relaxation.

The structure in extended XYZ format:
```
6
Lattice="4.9256 0.0000 0.0000 0.0000 4.9256 0.0000 -2.4628 -2.4628 5.6429" Properties=species:S:1:pos:R:3 pbc="T T T"
Pr 2.4628 2.4628 0.0000
Mg 0.0000 2.4628 2.8214
Mg 2.4628 0.0000 2.8214
Si 0.0000 0.0000 0.0000
Pd 2.4628 2.4628 3.3879
Pd 0.0000 0.0000 2.2549
```

ρ, g/cm3: 5.22
Density of states at the Fermi level, states/eV per cell: 3.71
Formation energy without anion corrections, eV per atom: -0.38
Symmetry: No. 139
E_tot, eV for the cell shown: -26.06

---

Record 2
The following is a DFT calculation (PBE) of PrMgSi2Pd2 after structural relaxation.

The structure in extended XYZ format:
```
6
Lattice="4.2777 0.0000 0.0000 -2.1389 3.7046 0.0000 0.0000 0.0000 7.0458" Properties=species:S:1:pos:R:3 pbc="T T T"
Pr 0.0000 0.0000 0.0000
Mg 0.0000 0.0000 3.5229
Si 2.1389 1.2349 5.0578
Si 0.0000 2.4698 1.9880
Pd 2.1389 1.2349 2.3344
Pd 0.0000 2.4698 4.7114
```

ρ, g/cm3: 6.46
Density of states at the Fermi level, states/eV per cell: 2.63
Formation energy without anion corrections, eV per atom: -0.78
Symmetry: No. 164
E_tot, eV for the cell shown: -32.28

---

Record 3
The following is a DFT calculation (PBE) of Pr3MgSi2Pd9 after structural relaxation.

The structure in extended XYZ format:
```
15
Lattice="-1.6417 2.9999 -4.8082 2.0466 -5.5099 -0.5162 -9.6151 -3.6648 0.9964" Properties=species:S:1:pos:R:3 pbc="T T T"
Pr -5.1797 -4.9590 -1.3254
Pr 0.0000 0.0000 0.0000
Pr -4.0305 -1.2158 -3.0026
Mg -4.8076 -1.8324 0.4982
Si -0.7045 -3.2533 -1.7892
Si -8.5057 -2.9215 -2.5388
Pd -7.7570 -0.9167 -3.4270
Pd -6.6923 -3.7832 -3.6955
Pd -6.9030 -2.4773 -0.9255
Pd -2.3072 -3.6974 -3.4024
Pd -2.5179 -2.3916 -0.6325
Pd -1.4532 -5.2581 -0.9010
Pd -0.8208 1.4999 -2.4041
Pd 1.0233 -2.7549 -0.2581
Pd 0.2025 -1.2550 -2.6622
```

ρ, g/cm3: 7.78
Density of states at the Fermi level, states/eV per cell: 5.05
Formation energy without anion corrections, eV per atom: -0.62
Symmetry: No. 164
E_tot, eV for the cell shown: -82.85

---

Record 4
The following is a DFT calculation (PBE) of PrSmMgPd after structural relaxation.

The structure in extended XYZ format:
```
4
Lattice="5.2896 0.0000 0.0000 2.6448 4.5809 0.0000 2.6448 1.5270 4.3189" Properties=species:S:1:pos:R:3 pbc="T T T"
Pr 2.6448 1.5270 1.0797
Mg 5.2896 3.0539 2.1595
Pd 0.0000 0.0000 0.0000
Sm 7.9343 4.5809 3.2392
```

ρ, g/cm3: 6.70
Formation energy, eV per atom: -0.325
Density of states at the Fermi level, states/eV per cell: 3.79
Symmetry: No. 216
E_tot, eV for the cell shown: -17.59

---

Record 5
The following is a DFT calculation (PBE) of PrMgSnPd after structural relaxation.

The structure in extended XYZ format:
```
4
Lattice="-0.1655 -0.3525 -5.0769 -4.2726 -1.5316 -2.3078 -2.7685 3.3177 -2.6935" Properties=species:S:1:pos:R:3 pbc="T T T"
Pr 0.0000 0.0000 0.0000
Mg -3.6033 0.7168 -5.0391
Sn -1.8016 0.3584 -2.5196
Pd -5.4049 1.0751 -7.5587
```

ρ, g/cm3: 6.94
Formation energy, eV per atom: -0.576
Density of states at the Fermi level, states/eV per cell: 1.34
Symmetry: No. 216
E_tot, eV for the cell shown: -17.87

---

Record 6
The following is a DFT calculation (PBE) of PrMg2Sn2Pd2 after structural relaxation.

The structure in extended XYZ format:
```
7
Lattice="4.5685 0.0000 0.0000 2.2842 3.9564 0.0000 2.2842 1.3188 8.4360" Properties=species:S:1:pos:R:3 pbc="T T T"
Pr 0.0000 0.0000 0.0000
Mg 2.2842 1.3188 4.9278
Mg 6.8527 3.9564 3.5083
Sn 6.8527 3.9564 6.5504
Sn 2.2842 1.3188 1.8856
Pd 4.5685 2.6376 2.6821
Pd 4.5685 2.6376 5.7540
```

ρ, g/cm3: 6.97
Formation energy, eV per atom: -0.644
Density of states at the Fermi level, states/eV per cell: 4.07
Symmetry: No. 166
E_tot, eV for the cell shown: -30.87

---

Record 7
The following is a DFT calculation (PBE) of PrMgSn2Pd after structural relaxation.

The structure in extended XYZ format:
```
5
Lattice="-0.5880 -2.8323 3.3483 4.3544 -0.7786 0.1061 -1.1633 6.3762 2.2656" Properties=species:S:1:pos:R:3 pbc="T T T"
Pr 0.0000 0.0000 0.0000
Mg 0.0660 0.8693 3.6705
Sn 2.0483 -0.7574 2.6427
Sn 0.5548 3.5227 3.0772
Pd 2.5372 1.8961 2.0495
```

ρ, g/cm3: 7.06
Formation energy, eV per atom: -0.628
Density of states at the Fermi level, states/eV per cell: 1.60
Symmetry: No. 119
E_tot, eV for the cell shown: -22.71

---

Record 8
The following is a DFT calculation (PBE) of PrMg2SnPd4 after structural relaxation.

The structure in extended XYZ format:
```
8
Lattice="-3.0325 0.7585 3.5829 -3.4194 -3.1699 0.9320 2.6304 -4.5388 6.3422" Properties=species:S:1:pos:R:3 pbc="T T T"
Pr 0.0000 0.0000 0.0000
Mg -2.9023 -5.1845 8.1063
Mg -0.9193 -1.7658 2.7508
Sn -1.9108 -3.4751 5.4286
Pd -0.2591 -4.7655 7.0997
Pd -4.5879 -3.8676 6.4009
Pd 0.7663 -3.0826 4.4563
Pd -3.5624 -2.1848 3.7575
```

ρ, g/cm3: 8.02
Formation energy, eV per atom: -0.654
Density of states at the Fermi level, states/eV per cell: 2.28
Symmetry: No. 166
E_tot, eV for the cell shown: -37.97

---

Record 9
The following is a DFT calculation (PBE) of Pr2MgSn3Pd4 after structural relaxation.

The structure in extended XYZ format:
```
10
Lattice="4.5717 0.0000 0.0000 0.0000 4.5717 0.0000 0.0000 0.0000 10.7614" Properties=species:S:1:pos:R:3 pbc="T T T"
Pr 2.2858 0.0000 2.5676
Pr 0.0000 2.2858 8.1938
Mg 2.2858 2.2858 5.3807
Sn 0.0000 0.0000 5.3807
Sn 2.2858 0.0000 9.3555
Sn 0.0000 2.2858 1.4059
Pd 2.2858 2.2858 0.0000
Pd 0.0000 0.0000 0.0000
Pd 2.2858 0.0000 6.7579
Pd 0.0000 2.2858 4.0035
```

ρ, g/cm3: 8.03
Formation energy, eV per atom: -0.775
Density of states at the Fermi level, states/eV per cell: 6.65
Symmetry: No. 115
E_tot, eV for the cell shown: -51.68

---

Record 10
The following is a DFT calculation (PBE) of PrMgSn2Pd5 after structural relaxation.

The structure in extended XYZ format:
```
9
Lattice="-3.3292 1.2677 2.3268 1.3286 -2.4341 3.2272 5.4589 7.7424 3.5923" Properties=species:S:1:pos:R:3 pbc="T T T"
Pr 2.7295 3.8712 1.7962
Mg 0.0000 0.0000 0.0000
Sn -0.2591 0.4680 3.2647
Sn 3.7175 6.1080 5.8816
Pd 2.2540 1.0376 2.6597
Pd -0.0749 2.8885 2.2095
Pd 4.5336 4.2708 4.1598
Pd 2.2047 6.1217 3.7096
Pd 1.7292 3.2880 4.5731
```

ρ, g/cm3: 8.46
Formation energy, eV per atom: -0.481
Density of states at the Fermi level, states/eV per cell: 3.29
Symmetry: No. 123
E_tot, eV for the cell shown: -44.68

---

Record 11
The following is a DFT calculation (PBE) of SrPrMgPd after structural relaxation.

The structure in extended XYZ format:
```
4
Lattice="5.4133 0.0000 0.0000 2.7067 4.6881 0.0000 2.7067 1.5627 4.4200" Properties=species:S:1:pos:R:3 pbc="T T T"
Pr 2.7067 1.5627 1.1050
Sr 8.1200 4.6881 3.3150
Mg 5.4133 3.1254 2.2100
Pd 0.0000 0.0000 0.0000
```

ρ, g/cm3: 5.32
Formation energy, eV per atom: -0.257
Density of states at the Fermi level, states/eV per cell: 2.58
Symmetry: No. 216
E_tot, eV for the cell shown: -14.27

---

Record 12
The following is a DFT calculation (PBE) of TbPrMgPd after structural relaxation.

The structure in extended XYZ format:
```
4
Lattice="-3.7443 2.6252 2.5781 -2.9002 -2.4490 3.6263 0.6288 1.1544 5.0823" Properties=species:S:1:pos:R:3 pbc="T T T"
Pr -1.5039 0.3327 2.8217
Mg 0.0000 0.0000 0.0000
Tb -4.5118 0.9980 8.4650
Pd -3.0079 0.6653 5.6434
```

ρ, g/cm3: 6.99
Formation energy, eV per atom: -0.343
Density of states at the Fermi level, states/eV per cell: 3.59
Symmetry: No. 216
E_tot, eV for the cell shown: -17.57